The following is a PBE calculation of a relaxed structure of CsYTc2O8, from Alexandria.

Results
crystal system	trigonal
density	3387	kg/m3
electronic total energy	-7.58	eV/atom
uncorrected formation energy	-23.3	eV per formula unit

a b c (Å): 6.0384 6.0384 8.4747
angles (deg): 90.00 90.00 120.00
Space group P-3 (No. 147)
Unique sites:
1 Cs 0.0000 0.0000 0.0000 x1
2 Y 0.0000 0.0000 0.5000 x1
3 Tc 0.3333 0.6667 0.7325 x2
4 O 0.1676 0.3430 0.6614 x6
5 O 0.3333 0.6667 0.9390 x2



The following is a PBE calculation of a relaxed structure of Cs2YTcO6, from Alexandria.

Results
crystal system	trigonal
density	4087	kg/m3
electronic total energy	-6.71	eV/atom
uncorrected formation energy	-18.8	eV per formula unit

a b c (Å): 6.6817 6.6817 5.7666
angles (deg): 90.00 90.00 120.00
Space group P-3m1 (No. 164)
Unique sites:
1 Cs 0.3333 0.6667 0.3571 x2
2 Y 0.0000 0.0000 0.0000 x1
3 Tc 0.0000 0.0000 0.5000 x1
4 O 0.1310 0.2620 0.7034 x6



The following is a PBE calculation of a relaxed structure of Cs2ZrTc3O12, from Alexandria.

Results
crystal system	trigonal
density	4838	kg/m3
electronic total energy	-7.36	eV/atom
uncorrected formation energy	-31.7	eV per formula unit

a b c (Å): 7.3481 7.3481 18.5648
angles (deg): 90.00 90.00 120.00
Space group R-3m (No. 166, hexagonal axes)
Unique sites:
1 Cs 0.0000 0.0000 0.1189 x6
2 Zr 0.0000 0.0000 0.5000 x3
3 Tc 0.0000 0.5000 0.0000 x9
4 O 0.0671 0.5335 0.0994 x18
5 O 0.0838 0.5419 0.3482 x18



The following is a PBE calculation of a relaxed structure of CsZrTc2O8, from Alexandria.

Results
crystal system	trigonal
density	3695	kg/m3
electronic total energy	-7.67	eV/atom
uncorrected formation energy	-22.2	eV per formula unit

a b c (Å): 5.7165 5.7165 26.1120
angles (deg): 90.00 90.00 120.00
Space group R-3 (No. 148, hexagonal axes)
Unique sites:
1 Cs 0.0000 0.0000 0.0000 x3
2 Zr 0.0000 0.0000 0.5000 x3
3 Tc 0.0000 0.0000 0.2374 x6
4 O 0.0000 0.0000 0.3046 x6
5 O 0.0007 0.4156 0.8802 x18



Which formula does entry 1 have?
CsYTc2O8



The highest uncorrected formation energy belongs to which entry?
Cs2YTcO6